# 1
A geometry-optimized Dy2CdAg6 structure. Source: Alexandria, functional PBE.

a b c (Å): 6.2305 6.2305 5.7780
angles (deg): 90.00 90.00 120.00
Atoms (fractional coordinates):
Dy: 0.3333 0.6667 0.1564
Dy: 0.6667 0.3333 0.8436
Cd: 0.0000 0.0000 0.0000
Ag: 0.1841 0.3682 0.6718
Ag: 0.1841 0.8159 0.6718
Ag: 0.3682 0.1841 0.3282
Ag: 0.6318 0.8159 0.6718
Ag: 0.8159 0.1841 0.3282
Ag: 0.8159 0.6318 0.3282

Output
* SG: P-3m1 (164)
* formation enthalpy at 0 K: -1.4 eV per formula unit
* calculated volume: 21.59 Å³/atom
* total DFT energy (no corrections): -3.180 eV per atom
* ΔE to the lowest computed polymorph: 0.67 kcal/mol of atoms

# 2
A geometry-optimized TbY5Ag structure. Source: Alexandria, functional PBE.

a b c (Å): 5.9816 5.9816 12.1780
angles (deg): 98.79 98.79 86.10
Atoms (fractional coordinates):
Tb: 0.1388 0.8612 0.7500
Tb: 0.8612 0.1388 0.2500
Y: 0.0065 0.2879 0.5750
Y: 0.0636 0.3934 0.8711
Y: 0.2879 0.0065 0.0750
Y: 0.3934 0.0636 0.3711
Y: 0.4677 0.5323 0.2500
Y: 0.5323 0.4677 0.7500
Y: 0.6066 0.9364 0.6289
Y: 0.7121 0.9935 0.9250
Y: 0.9364 0.6066 0.1289
Y: 0.9935 0.7121 0.4250
Ag: 0.5000 0.5000 0.0000
Ag: 0.5000 0.5000 0.5000

Output
* SG: C2/c (15)
* formation enthalpy at 0 K: 0.3 eV per formula unit
* calculated volume: 30.36 Å³/atom
* total DFT energy (no corrections): -5.644 eV per atom